<P>
Density functional theory data (PBE-GGA) for an optimized crystal structure of AlHgIr2.

abc: 4.882 4.882 4.941
angles: 74.73 74.73 34.41
Atoms (fractional coordinates):
Ir 0.024 0.024 0.973
Ir 0.476 0.476 0.527
Al 0.750 0.750 0.750
Hg 0.250 0.250 0.250


<Q>
Density functional theory data (PBE-GGA) for an optimized crystal structure of AlHgIr2.

abc: 4.475 4.475 4.475
angles: 60.00 60.00 60.00
Atoms (fractional coordinates):
Al 0.000 0.000 0.000
Hg 0.500 0.500 0.500
Ir 0.250 0.250 0.250
Ir 0.750 0.750 0.750


Stability check: which of them is least stable? <Q>.


<P>
Density functional theory data (PBE-GGA) for an optimized crystal structure of AlHgIr2.

abc: 2.873 2.873 9.386
angles: 90.00 90.00 121.15
Atoms (fractional coordinates):
Al 0.000 0.000 0.477
Ir 0.000 0.000 0.015
Ir 0.500 0.500 0.259
Hg 0.500 0.500 0.749


<Q>
Density functional theory data (PBE-GGA) for an optimized crystal structure of AlHgIr2.

abc: 4.070 4.070 9.374
angles: 77.46 77.46 90.00
Atoms (fractional coordinates):
Ir 0.193 0.625 0.250
Ir 0.375 0.443 0.750
Ir 0.875 0.807 0.750
Ir 0.557 0.125 0.250
Hg 0.000 0.000 0.000
Hg 0.750 0.250 0.500
Al 0.500 0.500 0.000
Al 0.250 0.750 0.500


<R>
Density functional theory data (PBE-GGA) for an optimized crystal structure of AlHgIr2.

abc: 4.029 2.933 5.687
angles: 72.86 90.00 90.00
Atoms (fractional coordinates):
Hg 0.500 0.750 0.750
Al 0.500 0.250 0.250
Ir 0.000 0.404 0.471
Ir 0.000 0.096 0.029


Stability check: which of them is least stable? <Q>.


<P>
Density functional theory data (PBE-GGA) for an optimized crystal structure of AlHgIr2.

abc: 4.472 4.472 3.168
angles: 90.00 90.00 90.06
Atoms (fractional coordinates):
Ir 0.000 0.000 0.000
Ir 0.500 0.500 0.000
Al 0.500 0.000 0.500
Hg 0.000 0.500 0.500


<Q>
Density functional theory data (PBE-GGA) for an optimized crystal structure of AlHgIr2.

abc: 4.952 4.952 4.952
angles: 132.97 132.97 68.70
Atoms (fractional coordinates):
Al 0.500 0.500 0.000
Ir 0.000 0.000 0.000
Ir 0.250 0.750 0.500
Hg 0.750 0.250 0.500


<R>
Density functional theory data (PBE-GGA) for an optimized crystal structure of AlHgIr2.

abc: 2.869 2.869 7.962
angles: 90.00 90.00 90.00
Atoms (fractional coordinates):
Al 0.000 0.000 0.459
Ir 0.000 0.000 0.026
Ir 0.500 0.500 0.261
Hg 0.500 0.500 0.754


Stability check: which of them is least stable? <Q>.


<P>
Density functional theory data (PBE-GGA) for an optimized crystal structure of AlHgIr2.

abc: 5.524 5.524 5.524
angles: 148.91 131.58 58.67
Atoms (fractional coordinates):
Al 0.520 0.520 0.000
Ir 0.733 0.233 0.500
Ir 0.985 0.985 0.000
Hg 0.261 0.761 0.500


<Q>
Density functional theory data (PBE-GGA) for an optimized crystal structure of AlHgIr2.

abc: 4.506 4.506 4.506
angles: 60.00 60.00 60.00
Atoms (fractional coordinates):
Hg 0.750 0.750 0.750
Ir 0.000 0.000 0.000
Ir 0.250 0.250 0.250
Al 0.500 0.500 0.500


Stability check: which of them is least stable? <Q>.


<P>
Density functional theory data (PBE-GGA) for an optimized crystal structure of AlHgIr2.

abc: 4.958 4.958 4.787
angles: 77.18 77.18 34.19
Atoms (fractional coordinates):
Al 0.484 0.484 0.525
Ir 0.758 0.758 0.750
Ir 0.012 0.012 0.973
Hg 0.246 0.246 0.252


<Q>
Density functional theory data (PBE-GGA) for an optimized crystal structure of AlHgIr2.

abc: 2.821 3.815 6.055
angles: 90.00 90.00 90.00
Atoms (fractional coordinates):
Hg 0.500 0.500 0.758
Ir 0.000 0.000 0.021
Ir 0.500 0.500 0.276
Al 0.000 0.000 0.444


<R>
Density functional theory data (PBE-GGA) for an optimized crystal structure of AlHgIr2.

abc: 2.910 4.926 4.522
angles: 90.00 90.00 90.00
Atoms (fractional coordinates):
Al 0.500 0.000 0.500
Ir 0.500 0.500 0.000
Ir 0.000 0.000 0.000
Hg 0.000 0.500 0.500


<S>
Density functional theory data (PBE-GGA) for an optimized crystal structure of AlHgIr2.

abc: 2.838 2.838 9.164
angles: 90.00 90.00 118.18
Atoms (fractional coordinates):
Al 0.500 0.500 0.250
Ir 0.000 0.000 0.035
Ir 0.000 0.000 0.465
Hg 0.500 0.500 0.750


Stability check: which of them is least stable? <R>.


<P>
Density functional theory data (PBE-GGA) for an optimized crystal structure of AlHgIr2.

abc: 9.062 9.062 9.062
angles: 18.40 18.40 18.40
Atoms (fractional coordinates):
Ir 0.994 0.994 0.994
Ir 0.247 0.247 0.247
Al 0.508 0.508 0.508
Hg 0.751 0.751 0.751


<Q>
Density functional theory data (PBE-GGA) for an optimized crystal structure of AlHgIr2.

abc: 3.017 3.017 6.907
angles: 90.00 90.00 90.00
Atoms (fractional coordinates):
Hg 0.500 0.500 0.750
Ir 0.000 0.000 0.040
Ir 0.000 0.000 0.460
Al 0.500 0.500 0.250


<R>
Density functional theory data (PBE-GGA) for an optimized crystal structure of AlHgIr2.

abc: 9.343 9.343 9.343
angles: 17.57 17.57 17.57
Atoms (fractional coordinates):
Ir 0.013 0.013 0.013
Ir 0.487 0.487 0.487
Al 0.750 0.750 0.750
Hg 0.250 0.250 0.250


Stability check: which of them is least stable? <P>.


<P>
Density functional theory data (PBE-GGA) for an optimized crystal structure of Al2Hg2Ir.

abc: 7.290 7.290 3.489
angles: 90.00 90.00 90.00
Atoms (fractional coordinates):
Al 0.329 0.171 0.500
Al 0.829 0.329 0.500
Al 0.171 0.671 0.500
Al 0.671 0.829 0.500
Hg 0.139 0.361 0.000
Hg 0.639 0.139 0.000
Hg 0.861 0.639 0.000
Hg 0.361 0.861 0.000
Ir 0.500 0.500 0.000
Ir 0.000 0.000 0.000


<Q>
Density functional theory data (PBE-GGA) for an optimized crystal structure of Al2Hg2Ir.

abc: 3.692 3.692 7.599
angles: 75.94 75.94 90.00
Atoms (fractional coordinates):
Ir 0.000 0.000 0.000
Al 0.750 0.250 0.500
Al 0.250 0.750 0.500
Hg 0.402 0.402 0.197
Hg 0.598 0.598 0.803


Stability check: which of them is least stable? <Q>.


<P>
Density functional theory data (PBE-GGA) for an optimized crystal structure of AlHgIr.

abc: 4.306 4.306 3.212
angles: 90.00 90.00 120.00
Atoms (fractional coordinates):
Ir 0.333 0.667 0.833
Al 0.000 0.000 0.833
Hg 0.667 0.333 0.333


<Q>
Density functional theory data (PBE-GGA) for an optimized crystal structure of AlHgIr.

abc: 2.994 2.994 6.627
angles: 90.00 90.00 120.00
Atoms (fractional coordinates):
Al 0.000 0.000 0.970
Ir 0.333 0.667 0.698
Hg 0.667 0.333 0.331


Stability check: which of them is least stable? <Q>.


<P>
Density functional theory data (PBE-GGA) for an optimized crystal structure of AlHgIr.

abc: 5.398 5.398 5.398
angles: 141.45 148.02 50.93
Atoms (fractional coordinates):
Hg 0.332 0.332 0.000
Al 0.035 0.035 0.000
Ir 0.633 0.633 0.000


<Q>
Density functional theory data (PBE-GGA) for an optimized crystal structure of AlHgIr.

abc: 4.378 4.378 4.378
angles: 60.00 60.00 60.00
Atoms (fractional coordinates):
Al 0.000 0.000 0.000
Hg 0.500 0.500 0.500
Ir 0.750 0.750 0.750


Stability check: which of them is least stable? <Q>.


<P>
Density functional theory data (PBE-GGA) for an optimized crystal structure of KAlHg.

abc: 4.620 4.620 5.307
angles: 90.00 90.00 120.00
Atoms (fractional coordinates):
Hg 0.667 0.333 0.166
Al 0.000 0.000 0.167
K 0.333 0.667 0.667


<Q>
Density functional theory data (PBE-GGA) for an optimized crystal structure of KAlHg.

abc: 5.458 5.458 5.458
angles: 60.00 60.00 60.00
Atoms (fractional coordinates):
K 0.750 0.750 0.750
Hg 0.500 0.500 0.500
Al 0.000 0.000 0.000


Stability check: which of them is least stable? <Q>.


<P>
Density functional theory data (PBE-GGA) for an optimized crystal structure of KAlHg.

abc: 6.757 6.757 6.757
angles: 146.35 147.91 47.18
Atoms (fractional coordinates):
Al 0.953 0.953 0.000
Hg 0.381 0.381 0.000
K 0.666 0.666 0.000


<Q>
Density functional theory data (PBE-GGA) for an optimized crystal structure of KAlHg.

abc: 5.216 5.216 5.216
angles: 60.00 60.00 60.00
Atoms (fractional coordinates):
Al 0.500 0.500 0.500
K 0.000 0.000 0.000
Hg 0.750 0.750 0.750


Stability check: which of them is least stable? <Q>.


<P>
Density functional theory data (PBE-GGA) for an optimized crystal structure of K2AlHg2.

abc: 10.120 10.120 3.372
angles: 90.00 90.00 90.00
Atoms (fractional coordinates):
Hg 0.392 0.108 0.500
Hg 0.608 0.892 0.500
Hg 0.108 0.608 0.500
Hg 0.892 0.392 0.500
K 0.814 0.686 0.000
K 0.686 0.186 0.000
K 0.314 0.814 0.000
K 0.186 0.314 0.000
Al 0.000 0.000 0.000
Al 0.500 0.500 0.000


<Q>
Density functional theory data (PBE-GGA) for an optimized crystal structure of K2AlHg2.

abc: 7.419 7.419 5.828
angles: 90.00 90.00 90.00
Atoms (fractional coordinates):
K 0.326 0.174 0.500
K 0.826 0.326 0.500
K 0.174 0.674 0.500
K 0.674 0.826 0.500
Al 0.500 0.500 0.000
Al 0.000 0.000 0.000
Hg 0.653 0.153 0.000
Hg 0.847 0.653 0.000
Hg 0.153 0.347 0.000
Hg 0.347 0.847 0.000


Stability check: which of them is least stable? <P>.